No. 1
An optimized crystal structure of Pm2EuEr. Source: Alexandria, functional PBE-GGA.

Lattice parameters (Å, degrees): 5.811 5.811 5.811 60.00 60.00 60.00
Positions (direct):
Pm1 0.250 0.250 0.250
Pm2 0.750 0.750 0.750
Eu1 0.000 0.000 0.000
Er1 0.500 0.500 0.500

## Properties
Space group: Fm-3m (225)
Formation energy from the elements: 0.1403 eV per atom
Relative energy among the computed polymorphs: 0.100 eV per atom

---

No. 2
An optimized crystal structure of BaSrCdPt. Source: Alexandria, functional PBE-GGA.

Lattice parameters (Å, degrees): 5.582 5.582 5.582 60.00 60.00 60.00
Positions (direct):
Ba1 0.000 0.000 0.000
Sr1 0.500 0.500 0.500
Cd1 0.250 0.250 0.250
Pt1 0.750 0.750 0.750

## Properties
Space group: F-43m (216)
Formation energy from the elements: -0.4347 eV per atom

---

No. 3
An optimized crystal structure of Si5Br. Source: Alexandria, functional PBE-GGA.

Lattice parameters (Å, degrees): 6.832 5.409 5.409 33.28 90.00 90.00
Positions (direct):
Si1 0.000 0.000 0.000
Si2 0.000 0.296 0.296
Si3 0.207 0.648 0.648
Si4 0.500 0.175 0.175
Si5 0.793 0.648 0.648
Br1 0.500 0.398 0.398

## Properties
Energy relative to the elements, uncorrected: 353 meV/atom
Space group: Amm2 (38)
Relative energy among the computed polymorphs: 0.000 eV per atom

---

No. 4
An optimized crystal structure of BaMgIn2. Source: Alexandria, functional PBE-GGA.

Lattice parameters (Å, degrees): 5.559 5.559 5.559 60.00 60.00 60.00
Positions (direct):
Ba1 0.000 0.000 0.000
Mg1 0.750 0.750 0.750
In1 0.250 0.250 0.250
In2 0.500 0.500 0.500

## Properties
Space group: F-43m (216)
Formation energy from the elements: -0.1923 eV per atom

---

No. 5
An optimized crystal structure of Sc2TlPb. Source: Alexandria, functional PBE-GGA.

Lattice parameters (Å, degrees): 5.062 5.062 6.235 100.67 100.67 40.17
Positions (direct):
Sc1 0.250 0.250 0.244
Sc2 0.750 0.750 0.756
Tl1 0.500 0.500 0.000
Pb1 0.000 0.000 0.500

## Properties
Space group: C2/m (12)
Formation energy from the elements: -0.2381 eV per atom
Relative energy among the computed polymorphs: 0.081 eV per atom

---

No. 6
An optimized crystal structure of Ti6FeNi. Source: Alexandria, functional PBE-GGA.

Lattice parameters (Å, degrees): 7.390 7.390 7.390 146.71 146.71 47.79
Positions (direct):
Ti1 0.110 0.610 0.500
Ti2 0.249 0.249 0.000
Ti3 0.390 0.890 0.500
Ti4 0.610 0.110 0.500
Ti5 0.751 0.751 0.000
Ti6 0.890 0.390 0.500
Fe1 0.000 0.000 0.000
Ni1 0.500 0.500 0.000

## Properties
Space group: I4/mmm (139)
Formation energy from the elements: -0.1750 eV per atom
Relative energy among the computed polymorphs: 0.000 eV per atom

---

No. 7
An optimized crystal structure of La3Be2SiPt9. Source: Alexandria, functional PBE-GGA.

Lattice parameters (Å, degrees): 5.910 5.910 9.257 90.00 90.00 120.00
Positions (direct):
La1 0.000 0.000 0.000
La2 0.333 0.667 0.638
La3 0.667 0.333 0.362
Be1 0.333 0.667 0.154
Be2 0.667 0.333 0.846
Si1 0.000 0.000 0.500
Pt1 0.000 0.500 0.000
Pt2 0.164 0.328 0.308
Pt3 0.164 0.836 0.308
Pt4 0.328 0.164 0.692
Pt5 0.500 0.000 0.000
Pt6 0.500 0.500 0.000
Pt7 0.672 0.836 0.308
Pt8 0.836 0.164 0.692
Pt9 0.836 0.672 0.692

## Properties
Energy relative to the elements, uncorrected: -885 meV/atom
Space group: P-3m1 (164)

---

No. 8
An optimized crystal structure of HgRh2Se. Source: Alexandria, functional PBE-GGA.

Lattice parameters (Å, degrees): 6.444 6.444 6.444 149.92 147.17 45.12
Positions (direct):
Hg1 0.000 0.000 0.000
Rh1 0.313 0.813 0.500
Rh2 0.614 0.614 0.000
Se1 0.760 0.260 0.500

## Properties
Energy relative to the elements, uncorrected: 28 meV/atom
Space group: Imm2 (44)

---

| no. | total magnetic moment (μB/f.u.) |
| --- | --- |
| 1 | 7.82 |
| 2 | 0.00 |
| 3 | 0.00 |
| 4 | 0.00 |
| 5 | 0.00 |
| 6 | 0.00 |
| 7 | 0.00 |
| 8 | 0.00 |